No. 1
The following is a DFT calculation (GGA-PBE) of a relaxed structure of LiDyIr4.

It has space group F-43m (No. 216), with a = 7.449 Å, b = 7.449 Å, c = 7.449 Å, α = 90.00°, β = 90.00° and γ = 90.00°. The asymmetric unit holds Li at (0.000, 0.000, 0.000), Dy at (0.250, 0.250, 0.250) and Ir at (0.125, 0.125, 0.625).

The calculated volume comes out at 413 Å³ per cell. The spin magnetization comes out at 0.00 μB per atom. As for the calculated density: 15.08 g/cm3. The uncorrected energy is -7.45 eV per atom.

No. 2
The following is a DFT calculation (GGA-PBE) of a relaxed structure of BaTl2Cd4.

It has space group Cmmm (No. 65), with a = 4.819 Å, b = 17.229 Å, c = 4.855 Å, α = 90.00°, β = 90.00° and γ = 90.00°. The asymmetric unit holds Ba at (0.000, 0.000, 0.000), Tl at (0.000, 0.411, 0.500), Cd at (0.000, 0.192, 0.500) and Cd at (0.000, 0.306, 0.000).

The calculated volume comes out at 403 Å³ per cell. As for the energy relative to the lowest polymorph listed for this composition: 0.000 eV per atom. The spin magnetization comes out at 0.00 μB per atom. As for the calculated density: 8.20 g/cm3.

Number 2 is which compound?
BaTl2Cd4